Entry 1:
DFT (PBE) results for a relaxed Pr2Sn5Ir3 crystal.

Volume ... 22.35 Å³/atom
Magnetization ... 0.0 μB per formula unit
Final energy ... -62.38 eV per formula unit
Symmetry ... No. 36
DFT formation energy ... -14.4 kcal/mol of atoms

Cell lengths 13.611, 13.611, 7.366 Å; angles 90.00, 90.00, 160.88 degrees
Sites, in units of the cell vectors:
Pr: 0.023 0.977 0.500
Pr: 0.327 0.673 0.477
Pr: 0.673 0.327 0.977
Pr: 0.977 0.023 0.000
Sn: 0.097 0.903 0.128
Sn: 0.206 0.794 0.683
Sn: 0.210 0.790 0.260
Sn: 0.379 0.621 0.005
Sn: 0.451 0.549 0.336
Sn: 0.549 0.451 0.836
Sn: 0.621 0.379 0.505
Sn: 0.790 0.210 0.760
Sn: 0.794 0.206 0.183
Sn: 0.903 0.097 0.628
Ir: 0.106 0.894 0.756
Ir: 0.277 0.723 0.970
Ir: 0.449 0.551 0.718
Ir: 0.551 0.449 0.218
Ir: 0.723 0.277 0.470
Ir: 0.894 0.106 0.256

=====

Entry 2:
DFT (PBE) results for a relaxed SrMn2Ir crystal.

Volume ... 22.22 Å³/atom
Magnetization ... 1.5 μB per formula unit
Final energy ... -28.71 eV per formula unit
Symmetry ... No. 160
DFT formation energy ... 1.0 kcal/mol of atoms

Cell lengths 6.142, 6.142, 6.142 Å; angles 40.70, 40.70, 40.70 degrees
Sites, in units of the cell vectors:
Sr: 0.000 0.000 0.000
Mn: 0.516 0.516 0.516
Mn: 0.807 0.807 0.807
Ir: 0.196 0.196 0.196

=====

Entry 3:
DFT (PBE) results for a relaxed K2LiThF8 crystal.

Volume ... 16.19 Å³/atom
Magnetization ... 1.1 μB per formula unit
Final energy ... -64.32 eV per formula unit
Raw formation energy ... -3.15 eV per atom
Symmetry ... No. 2

Cell lengths 4.213, 6.180, 7.584 Å; angles 79.74, 88.80, 89.67 degrees
Sites, in units of the cell vectors:
K: 0.010 0.055 0.234
K: 0.990 0.945 0.766
Li: 0.500 0.500 0.000
Th: 0.500 0.500 0.500
F: 0.001 0.701 0.509
F: 0.067 0.627 0.055
F: 0.489 0.207 0.726
F: 0.494 0.668 0.749
F: 0.506 0.332 0.251
F: 0.511 0.793 0.274
F: 0.933 0.373 0.945
F: 0.999 0.299 0.491

=====

Entry 4:
DFT (PBE) results for a relaxed SrPaAgSe4 crystal.

Volume ... 28.65 Å³/atom
Magnetization ... 0.0 μB per formula unit
Final energy ... -36.58 eV per formula unit
Raw formation energy ... -1.23 eV per atom
Symmetry ... No. 74

Cell lengths 8.055, 8.055, 8.055 Å; angles 112.52, 106.10, 109.86 degrees
Sites, in units of the cell vectors:
Sr: 0.427 0.177 0.250
Sr: 0.573 0.823 0.750
Pa: 0.000 0.000 0.500
Pa: 0.000 0.500 0.000
Ag: 0.000 0.500 0.500
Ag: 0.500 0.500 0.000
Se: 0.137 0.207 0.931
Se: 0.224 0.793 0.431
Se: 0.288 0.341 0.553
Se: 0.288 0.735 0.947
Se: 0.712 0.265 0.053
Se: 0.712 0.659 0.447
Se: 0.776 0.207 0.569
Se: 0.863 0.793 0.069

=====

Entry 5:
DFT (PBE) results for a relaxed LaCo2 crystal.

Volume ... 18.10 Å³/atom
Magnetization ... 2.1 μB per formula unit
Final energy ... -18.84 eV per formula unit
Symmetry ... No. 71
DFT formation energy ... 2.3 kcal/mol of atoms

Cell lengths 6.383, 6.383, 6.383 Å; angles 145.22, 132.32, 60.35 degrees
Sites, in units of the cell vectors:
La: 0.176 0.176 0.000
La: 0.824 0.824 0.000
Co: 0.269 0.500 0.769
Co: 0.396 0.896 0.500
Co: 0.604 0.104 0.500
Co: 0.731 0.500 0.231

=====

Entry 6:
DFT (PBE) results for a relaxed NaGaF4 crystal.

Volume ... 13.53 Å³/atom
Magnetization ... 0.0 μB per formula unit
Final energy ... -28.05 eV per formula unit
Raw formation energy ... -2.70 eV per atom
Symmetry ... No. 15

Cell lengths 6.406, 6.406, 5.570 Å; angles 97.67, 97.67, 45.87 degrees
Sites, in units of the cell vectors:
Na: 0.218 0.782 0.750
Na: 0.782 0.218 0.250
Ga: 0.000 0.500 0.000
Ga: 0.500 0.000 0.500
F: 0.019 0.776 0.057
F: 0.224 0.981 0.443
F: 0.256 0.346 0.729
F: 0.346 0.256 0.229
F: 0.654 0.744 0.771
F: 0.744 0.654 0.271
F: 0.776 0.019 0.557
F: 0.981 0.224 0.943